Entry 1:
# meta-GGA SCAN BaCd2Ag, single point on PBEsol structure
data_BaCd2Ag
_chemical_formula_sum 'Ba1 Cd2 Ag1'
_space_group_name_H-M_alt 'P 1'
_space_group_IT_number 1
_cell_length_a 5.290
_cell_length_b 5.290
_cell_length_c 5.290
_cell_angle_alpha 60.00
_cell_angle_beta 60.00
_cell_angle_gamma 60.00
loop_
_space_group_symop_operation_xyz
'x,y,z'
loop_
_atom_site_label
_atom_site_type_symbol
_atom_site_fract_x
_atom_site_fract_y
_atom_site_fract_z
Ba1 Ba 0.000 0.000 0.000
Cd1 Cd 0.250 0.250 0.250
Cd2 Cd 0.750 0.750 0.750
Ag1 Ag 0.500 0.500 0.500
# Size of the total moment, μB/cell: 0.00
# Energy of formation, eV per atom: -0.0871
# Symmetry: Fm-3m (225)

***

Entry 2:
# meta-GGA SCAN Ba2CdAg2, single point on PBEsol structure
data_Ba2CdAg2
_chemical_formula_sum 'Ba4 Cd2 Ag4'
_space_group_name_H-M_alt 'P 1'
_space_group_IT_number 1
_cell_length_a 8.190
_cell_length_b 8.190
_cell_length_c 4.605
_cell_angle_alpha 90.00
_cell_angle_beta 90.00
_cell_angle_gamma 90.00
loop_
_space_group_symop_operation_xyz
'x,y,z'
loop_
_atom_site_label
_atom_site_type_symbol
_atom_site_fract_x
_atom_site_fract_y
_atom_site_fract_z
Ba1 Ba 0.180 0.320 0.000
Ba2 Ba 0.320 0.820 0.000
Ba3 Ba 0.680 0.180 0.000
Ba4 Ba 0.820 0.680 0.000
Cd1 Cd 0.000 0.000 0.500
Cd2 Cd 0.500 0.500 0.500
Ag1 Ag 0.120 0.620 0.500
Ag2 Ag 0.380 0.120 0.500
Ag3 Ag 0.620 0.880 0.500
Ag4 Ag 0.880 0.380 0.500
# Size of the total moment, μB/cell: 0.00
# Energy of formation, eV per atom: -0.2574
# Symmetry: P4/mbm (127)

***

Entry 3:
# meta-GGA SCAN Ba2CdAg, single point on PBEsol structure
data_Ba2CdAg
_chemical_formula_sum 'Ba2 Cd1 Ag1'
_space_group_name_H-M_alt 'P 1'
_space_group_IT_number 1
_cell_length_a 5.021
_cell_length_b 6.595
_cell_length_c 6.595
_cell_angle_alpha 41.48
_cell_angle_beta 90.00
_cell_angle_gamma 90.00
loop_
_space_group_symop_operation_xyz
'x,y,z'
loop_
_atom_site_label
_atom_site_type_symbol
_atom_site_fract_x
_atom_site_fract_y
_atom_site_fract_z
Ba1 Ba 0.000 0.000 0.000
Ba2 Ba 0.500 0.284 0.284
Cd1 Cd 0.500 0.578 0.578
Ag1 Ag 0.000 0.703 0.703
# Size of the total moment, μB/cell: 0.00
# Energy of formation, eV per atom: -0.3000
# Symmetry: Amm2 (38)

***

Entry 4:
# meta-GGA SCAN BaCdAg2, single point on PBEsol structure
data_BaCdAg2
_chemical_formula_sum 'Ba1 Cd1 Ag2'
_space_group_name_H-M_alt 'P 1'
_space_group_IT_number 1
_cell_length_a 3.597
_cell_length_b 3.682
_cell_length_c 7.374
_cell_angle_alpha 90.00
_cell_angle_beta 90.16
_cell_angle_gamma 90.00
loop_
_space_group_symop_operation_xyz
'x,y,z'
loop_
_atom_site_label
_atom_site_type_symbol
_atom_site_fract_x
_atom_site_fract_y
_atom_site_fract_z
Ba1 Ba 0.000 0.000 0.000
Cd1 Cd 0.000 0.000 0.500
Ag1 Ag 0.500 0.500 0.311
Ag2 Ag 0.500 0.500 0.689
# Size of the total moment, μB/cell: 0.00
# Energy of formation, eV per atom: -0.1003
# Symmetry: P2/m (10)

***

Entry 5:
# meta-GGA SCAN Ba2CdAg, single point on PBEsol structure
data_Ba2CdAg
_chemical_formula_sum 'Ba2 Cd1 Ag1'
_space_group_name_H-M_alt 'P 1'
_space_group_IT_number 1
_cell_length_a 3.914
_cell_length_b 3.914
_cell_length_c 9.174
_cell_angle_alpha 90.00
_cell_angle_beta 90.00
_cell_angle_gamma 90.00
loop_
_space_group_symop_operation_xyz
'x,y,z'
loop_
_atom_site_label
_atom_site_type_symbol
_atom_site_fract_x
_atom_site_fract_y
_atom_site_fract_z
Ba1 Ba 0.000 0.000 0.000
Ba2 Ba 0.500 0.500 0.402
Cd1 Cd 0.000 0.000 0.637
Ag1 Ag 0.500 0.500 0.769
# Size of the total moment, μB/cell: 0.01
# Energy of formation, eV per atom: -0.1592
# Symmetry: P4mm (99)

***

Entry 6:
# meta-GGA SCAN BaCd2Ag, single point on PBEsol structure
data_BaCd2Ag
_chemical_formula_sum 'Ba1 Cd2 Ag1'
_space_group_name_H-M_alt 'P 1'
_space_group_IT_number 1
_cell_length_a 6.355
_cell_length_b 6.355
_cell_length_c 6.355
_cell_angle_alpha 44.39
_cell_angle_beta 44.39
_cell_angle_gamma 44.39
loop_
_space_group_symop_operation_xyz
'x,y,z'
loop_
_atom_site_label
_atom_site_type_symbol
_atom_site_fract_x
_atom_site_fract_y
_atom_site_fract_z
Ba1 Ba 0.000 0.000 0.000
Cd1 Cd 0.202 0.202 0.202
Cd2 Cd 0.798 0.798 0.798
Ag1 Ag 0.500 0.500 0.500
# Size of the total moment, μB/cell: 0.00
# Energy of formation, eV per atom: -0.2525
# Symmetry: R-3m (166)

***

Entry 7:
# meta-GGA SCAN Ba2CdAg, single point on PBEsol structure
data_Ba2CdAg
_chemical_formula_sum 'Ba2 Cd1 Ag1'
_space_group_name_H-M_alt 'P 1'
_space_group_IT_number 1
_cell_length_a 5.779
_cell_length_b 5.779
_cell_length_c 4.068
_cell_angle_alpha 90.00
_cell_angle_beta 90.00
_cell_angle_gamma 90.00
loop_
_space_group_symop_operation_xyz
'x,y,z'
loop_
_atom_site_label
_atom_site_type_symbol
_atom_site_fract_x
_atom_site_fract_y
_atom_site_fract_z
Ba1 Ba 0.000 0.500 0.000
Ba2 Ba 0.500 0.000 0.000
Cd1 Cd 0.000 0.000 0.500
Ag1 Ag 0.500 0.500 0.500
# Size of the total moment, μB/cell: 0.00
# Energy of formation, eV per atom: -0.2861
# Symmetry: P4/mmm (123)

***

Entry 8:
# meta-GGA SCAN Ba2CdAg, single point on PBEsol structure
data_Ba2CdAg
_chemical_formula_sum 'Ba2 Cd1 Ag1'
_space_group_name_H-M_alt 'P 1'
_space_group_IT_number 1
_cell_length_a 5.497
_cell_length_b 5.497
_cell_length_c 5.497
_cell_angle_alpha 60.00
_cell_angle_beta 60.00
_cell_angle_gamma 60.00
loop_
_space_group_symop_operation_xyz
'x,y,z'
loop_
_atom_site_label
_atom_site_type_symbol
_atom_site_fract_x
_atom_site_fract_y
_atom_site_fract_z
Ba1 Ba 0.000 0.000 0.000
Ba2 Ba 0.250 0.250 0.250
Cd1 Cd 0.750 0.750 0.750
Ag1 Ag 0.500 0.500 0.500
# Size of the total moment, μB/cell: 0.00
# Energy of formation, eV per atom: -0.1380
# Symmetry: F-43m (216)

***

Which of these has the lowest energy of formation?
number 3

***

Please write out number 4 again, unchanged.
# meta-GGA SCAN BaCdAg2, single point on PBEsol structure
data_BaCdAg2
_chemical_formula_sum 'Ba1 Cd1 Ag2'
_space_group_name_H-M_alt 'P 1'
_space_group_IT_number 1
_cell_length_a 3.597
_cell_length_b 3.682
_cell_length_c 7.374
_cell_angle_alpha 90.00
_cell_angle_beta 90.16
_cell_angle_gamma 90.00
loop_
_space_group_symop_operation_xyz
'x,y,z'
loop_
_atom_site_label
_atom_site_type_symbol
_atom_site_fract_x
_atom_site_fract_y
_atom_site_fract_z
Ba1 Ba 0.000 0.000 0.000
Cd1 Cd 0.000 0.000 0.500
Ag1 Ag 0.500 0.500 0.311
Ag2 Ag 0.500 0.500 0.689
# Size of the total moment, μB/cell: 0.00
# Energy of formation, eV per atom: -0.1003
# Symmetry: P2/m (10)